Entry 1:
Ho2S3, optimized geometry, DFT PBEsol; magnetic moment = 0.0 μB per cell; formation energy from raw total energies = -206.9 kJ/mol of atoms; VASP energy = -6.75 eV/atom
1.0
-3.030 1.958 -1.193
-5.528 -8.596 -0.069
-2.802 1.722 9.946
Ho S
8 12
Cartesian
-8.535 -6.700 7.656 Ho
-2.825 1.784 1.027 Ho
-6.968 -1.619 5.966 Ho
-4.392 -3.297 2.718 Ho
-3.160 -0.275 4.552 Ho
-8.200 -4.641 4.132 Ho
-6.100 -4.416 -0.832 Ho
-5.260 -0.500 9.516 Ho
-4.465 -0.850 6.922 S
-6.894 -4.066 1.761 S
-8.867 -4.094 6.727 S
-2.493 -0.822 1.957 S
-7.040 -6.970 3.415 S
-4.320 2.054 5.269 S
-5.063 -2.141 0.269 S
-6.297 -2.775 8.415 S
-5.717 -6.949 0.090 S
-5.643 2.033 8.593 S
-5.616 -0.966 3.603 S
-5.743 -3.950 5.081 S

***

Entry 2:
FeCuSb2, optimized geometry, DFT PBEsol; magnetic moment = 2.6 μB per cell; formation energy from raw total energies = 67.8 kJ/mol of atoms; VASP energy = -4.90 eV/atom
1.0
4.742 0.000 0.000
2.371 4.106 0.000
2.371 1.369 3.871
Cu Fe Sb
1 1 2
Cartesian
4.742 2.738 1.936 Cu
2.371 1.369 0.968 Fe
0.000 0.000 0.000 Sb
7.112 4.106 2.904 Sb

***

Entry 3:
K2ErPCO7, optimized geometry, DFT PBEsol; magnetic moment = 0.0 μB per cell; formation energy from raw total energies = -232.4 kJ/mol of atoms; VASP energy = -7.36 eV/atom
1.0
5.667 0.000 0.080
0.000 7.010 0.000
-0.198 0.000 9.916
K Er P C O
4 2 2 2 14
Cartesian
4.074 3.388 7.816 K
4.074 0.118 7.816 K
1.395 3.623 2.181 K
1.395 6.893 2.181 K
1.050 5.258 6.208 Er
4.419 1.753 3.788 Er
1.510 1.753 5.634 P
3.959 5.258 4.362 P
1.302 5.258 8.898 C
4.167 1.753 1.099 C
3.800 1.753 9.772 O
0.127 5.258 8.318 O
2.317 5.258 8.045 O
1.044 0.476 6.371 O
1.044 3.030 6.371 O
4.571 5.258 5.797 O
3.067 1.753 5.528 O
2.402 5.258 4.468 O
0.898 1.753 4.199 O
4.425 3.981 3.625 O
4.425 6.535 3.625 O
3.152 1.753 1.951 O
5.342 1.753 1.679 O
1.669 5.258 0.224 O

***

Which of these has the lowest formation energy from raw total energies? K2ErPCO7

***

Repeat the third record exactly.
K2ErPCO7, optimized geometry, DFT PBEsol; magnetic moment = 0.0 μB per cell; formation energy from raw total energies = -232.4 kJ/mol of atoms; VASP energy = -7.36 eV/atom
1.0
5.667 0.000 0.080
0.000 7.010 0.000
-0.198 0.000 9.916
K Er P C O
4 2 2 2 14
Cartesian
4.074 3.388 7.816 K
4.074 0.118 7.816 K
1.395 3.623 2.181 K
1.395 6.893 2.181 K
1.050 5.258 6.208 Er
4.419 1.753 3.788 Er
1.510 1.753 5.634 P
3.959 5.258 4.362 P
1.302 5.258 8.898 C
4.167 1.753 1.099 C
3.800 1.753 9.772 O
0.127 5.258 8.318 O
2.317 5.258 8.045 O
1.044 0.476 6.371 O
1.044 3.030 6.371 O
4.571 5.258 5.797 O
3.067 1.753 5.528 O
2.402 5.258 4.468 O
0.898 1.753 4.199 O
4.425 3.981 3.625 O
4.425 6.535 3.625 O
3.152 1.753 1.951 O
5.342 1.753 1.679 O
1.669 5.258 0.224 O

***

Look up the magnetic moment of the third one. 0.0 μB per cell

***

What is the magnetic moment in the first record? 0.0 μB per cell